A relaxed La2RePdN crystal, computed with GGA-PBE.

Cell and atoms, written as POSCAR:
```
La2RePdN
1.0
5.264 0.000 0.000
0.000 5.264 0.000
0.000 0.000 3.865
La Re Pd N
2 1 1 1
Cartesian
0.000 2.632 0.000
2.632 0.000 0.000
0.000 0.000 1.932
2.632 2.632 1.932
0.000 0.000 0.000
```

Properties
space-group type: P4/mmm, No. 123
ΔE_f (raw): -0.667 eV per atom
M_tot: 0.00 Bohr magnetons per cell

A relaxed AlZnCl2 crystal, computed with GGA-PBE.

Cell and atoms, written as POSCAR:
```
AlZnCl2
1.0
3.746 0.000 0.000
-1.873 3.244 0.000
0.000 0.000 30.034
Al Zn Cl
3 3 6
Cartesian
0.000 0.000 0.000
0.000 2.163 20.023
1.873 1.081 10.011
0.000 0.000 15.017
0.000 2.163 5.006
1.873 1.081 25.028
0.000 0.000 8.591
0.000 0.000 21.443
0.000 2.163 11.432
0.000 2.163 28.613
1.873 1.081 1.420
1.873 1.081 18.602
```

Properties
energy relative to the lowest polymorph listed for this composition: 0.340 eV per atom
space-group type: R-3m, No. 166
ΔE_f (raw): -0.350 eV per atom
M_tot: 2.69 Bohr magnetons per cell

A relaxed CsFe2HCl8 crystal, computed with GGA-PBE.

Cell and atoms, written as POSCAR:
```
CsFe2HCl8
1.0
7.020 -3.270 0.000
7.020 3.270 0.000
-4.350 0.000 8.146
Cs Fe H Cl
1 2 1 8
Cartesian
0.000 0.000 0.000
-0.359 0.000 5.355
10.049 0.000 2.791
4.845 0.000 4.073
4.380 1.505 2.547
0.691 0.000 3.454
1.052 0.000 7.049
5.310 1.505 5.600
4.380 -1.505 2.547
8.638 0.000 1.098
8.999 0.000 4.693
5.310 -1.505 5.600
```

Properties
total DFT energy (no corrections): -0.1378 hartree per atom
space-group type: C2/m, No. 12
M_tot: 10.00 Bohr magnetons per cell

Copy entry 2 word for word.
A relaxed AlZnCl2 crystal, computed with GGA-PBE.

Cell and atoms, written as POSCAR:
```
AlZnCl2
1.0
3.746 0.000 0.000
-1.873 3.244 0.000
0.000 0.000 30.034
Al Zn Cl
3 3 6
Cartesian
0.000 0.000 0.000
0.000 2.163 20.023
1.873 1.081 10.011
0.000 0.000 15.017
0.000 2.163 5.006
1.873 1.081 25.028
0.000 0.000 8.591
0.000 0.000 21.443
0.000 2.163 11.432
0.000 2.163 28.613
1.873 1.081 1.420
1.873 1.081 18.602
```

Properties
energy relative to the lowest polymorph listed for this composition: 0.340 eV per atom
space-group type: R-3m, No. 166
ΔE_f (raw): -0.350 eV per atom
M_tot: 2.69 Bohr magnetons per cell

Which value of M_tot does entry 1 give?
0.00 Bohr magnetons per cell